# 1
{
  "formula": "Li2TeMoO6",
  "functional": "PBE+U",
  "state": "relaxed",
  "dos_at_fermi_per_ev_cell": 0.000,
  "polymorph_energy_mev_per_atom": 165.9,
  "space_group": "P4mm (99)",
  "vol_a3_per_cell": 152.9,
  "lattice_angstrom": [[5.676, 0.000, 0.000], [0.000, 5.676, 0.000], [0.000, 0.000, 4.744]],
  "species": ["Li", "Li", "Te", "Mo", "O", "O", "O", "O", "O", "O"],
  "frac_coords": [[0.000, 0.500, 0.000], [0.500, 0.000, 0.000], [0.000, 0.000, 0.766], [0.500, 0.500, 0.744], [0.000, 0.000, 0.380], [0.268, 0.268, 0.857], [0.268, 0.732, 0.857], [0.500, 0.500, 0.379], [0.732, 0.268, 0.857], [0.732, 0.732, 0.857]]
}

=====

# 2
{
  "formula": "Ac3MnCu2O8",
  "functional": "PBE+U",
  "state": "relaxed",
  "dos_at_fermi_per_ev_cell": 6.200,
  "final_energy_ev_per_atom": -6.940,
  "space_group": "P-3m1 (164)",
  "vol_a3_per_cell": 198.5,
  "lattice_angstrom": [[5.583, 0.000, 0.000], [-2.792, 4.835, 0.000], [0.000, 0.000, 7.354]],
  "species": ["Ac", "Ac", "Ac", "Mn", "Cu", "Cu", "O", "O", "O", "O", "O", "O", "O", "O"],
  "frac_coords": [[0.000, 0.000, 0.000], [0.333, 0.667, 0.633], [0.667, 0.333, 0.367], [0.000, 0.000, 0.500], [0.333, 0.667, 0.188], [0.667, 0.333, 0.812], [0.160, 0.321, 0.334], [0.160, 0.840, 0.334], [0.321, 0.160, 0.666], [0.333, 0.667, 0.941], [0.667, 0.333, 0.059], [0.679, 0.840, 0.334], [0.840, 0.160, 0.666], [0.840, 0.679, 0.666]]
}

=====

Number 1: total magnetization 0.0 Bohr magnetons per cell. Number 2: total magnetization 2.0 Bohr magnetons per cell.